<1>
Here is crystalline Sm3MgRh at its relaxed geometry from the Alexandria database. Energies are from PBE.

Properties
space-group type	No. 221

Cell lengths 5.475, 5.475, 5.475 Å; angles 90.00, 90.00, 90.00 degrees
Fractional positions:
Sm (0.000, 0.500, 0.000)
Rh (0.000, 0.000, 0.000)
Sm (0.000, 0.000, 0.500)
Mg (0.500, 0.500, 0.500)
Sm (0.500, 0.000, 0.000)

***

<2>
Here is crystalline Sm3MgRh at its relaxed geometry from the Alexandria database. Energies are from PBE.

Properties
space-group type	No. 69

Cell lengths 6.679, 9.960, 9.636 Å; angles 121.11, 90.00, 90.00 degrees
Fractional positions:
Sm (0.000, 0.083, 0.280)
Sm (0.500, 0.197, 0.281)
Sm (0.000, 0.303, 0.719)
Sm (0.500, 0.417, 0.720)
Rh (0.250, 0.000, 0.000)
Rh (0.750, 0.000, 0.000)
Sm (0.000, 0.703, 0.907)
Sm (0.500, 0.797, 0.093)
Rh (0.750, 0.500, 0.000)
Sm (0.000, 0.297, 0.093)
Mg (0.295, 0.000, 0.500)
Mg (0.205, 0.500, 0.500)
Sm (0.000, 0.697, 0.281)
Sm (0.500, 0.203, 0.907)
Sm (0.500, 0.583, 0.280)
Sm (0.500, 0.803, 0.719)
Rh (0.250, 0.500, 0.000)
Sm (0.000, 0.917, 0.720)
Mg (0.795, 0.500, 0.500)
Mg (0.705, 0.000, 0.500)

***

Among the structures above, stability is smallest for <1>.